Entry 1:
Cs2Ho2Te3Se | PBE | relaxed

Computed properties:
- space-group type = P3m1 (156)
- density (g/cm3) = 5.8
- V (Å³/f.u.) = 301.6
- crystal system = trigonal
- energy (eV per atom) = -4.43

a b c (Å): 4.4536 4.4536 17.5583
angles (deg): 90.00 90.00 120.00
Element x y z (fractional)
Cs 0.0000 0.0000 0.0000
Cs 0.3333 0.6667 0.4866
Ho 0.6667 0.3333 0.2299
Ho 0.6667 0.3333 0.7431
Te 0.0000 0.0000 0.3291
Te 0.0000 0.0000 0.6452
Te 0.3333 0.6667 0.8414
Se 0.3333 0.6667 0.1479

Entry 2:
CsHoSi | PBE | relaxed

Computed properties:
- space-group type = F-43m (216)
- density (g/cm3) = 5.0
- V (Å³/f.u.) = 108.8
- crystal system = cubic
- energy (eV per atom) = -3.13
- relative energy among the computed polymorphs (meV per atom) = 0

a b c (Å): 5.3584 5.3584 5.3584
angles (deg): 60.00 60.00 60.00
Element x y z (fractional)
Cs 0.0000 0.0000 0.0000
Ho 0.5000 0.5000 0.5000
Si 0.2500 0.2500 0.2500

Entry 3:
CsSmHo | PBE | relaxed

Computed properties:
- space-group type = F-43m (216)
- density (g/cm3) = 4.9
- V (Å³/f.u.) = 152.1
- crystal system = cubic
- energy (eV per atom) = -2.11
- relative energy among the computed polymorphs (meV per atom) = 25

a b c (Å): 5.9915 5.9915 5.9915
angles (deg): 60.00 60.00 60.00
Element x y z (fractional)
Cs 0.0000 0.0000 0.0000
Sm 0.2500 0.2500 0.2500
Ho 0.5000 0.5000 0.5000

Entry 4:
CsSmHo | PBE | relaxed

Computed properties:
- space-group type = F-43m (216)
- density (g/cm3) = 6.2
- V (Å³/f.u.) = 120.5
- crystal system = cubic
- energy (eV per atom) = -2.14
- relative energy among the computed polymorphs (meV per atom) = 0

a b c (Å): 5.5434 5.5434 5.5434
angles (deg): 60.00 60.00 60.00
Element x y z (fractional)
Cs 0.0000 0.0000 0.0000
Sm 0.2500 0.2500 0.2500
Ho 0.7500 0.7500 0.7500

Entry 5:
CsSrHo | PBE | relaxed

Computed properties:
- space-group type = F-43m (216)
- density (g/cm3) = 4.0
- V (Å³/f.u.) = 158.7
- crystal system = cubic
- energy (eV per atom) = -1.30

a b c (Å): 6.0777 6.0777 6.0777
angles (deg): 60.00 60.00 60.00
Element x y z (fractional)
Cs 0.0000 0.0000 0.0000
Sr 0.7500 0.7500 0.7500
Ho 0.2500 0.2500 0.2500

Entry 6:
CsHoTe | PBE | relaxed

Computed properties:
- space-group type = F-43m (216)
- density (g/cm3) = 5.5
- V (Å³/f.u.) = 128.0
- crystal system = cubic
- energy (eV per atom) = -2.89
- relative energy among the computed polymorphs (meV per atom) = 0

a b c (Å): 5.6576 5.6576 5.6576
angles (deg): 60.00 60.00 60.00
Element x y z (fractional)
Cs 0.0000 0.0000 0.0000
Ho 0.5000 0.5000 0.5000
Te 0.2500 0.2500 0.2500

Entry 7:
CsHoTe | PBE | relaxed

Computed properties:
- space-group type = F-43m (216)
- density (g/cm3) = 4.9
- V (Å³/f.u.) = 144.5
- crystal system = cubic
- energy (eV per atom) = -2.39
- relative energy among the computed polymorphs (meV per atom) = 495

a b c (Å): 5.8907 5.8907 5.8907
angles (deg): 60.00 60.00 60.00
Element x y z (fractional)
Cs 0.0000 0.0000 0.0000
Ho 0.2500 0.2500 0.2500
Te 0.7500 0.7500 0.7500

Entry 8:
CsHo3Te5 | PBE | relaxed

Computed properties:
- space-group type = Pnma (62)
- density (g/cm3) = 6.1
- V (Å³/f.u.) = 343.1
- crystal system = orthorhombic
- energy (eV per atom) = -4.78

a b c (Å): 23.9518 4.4014 13.0195
angles (deg): 90.00 90.00 90.00
Element x y z (fractional)
Cs 0.0866 0.2500 0.1408
Cs 0.4134 0.7500 0.6408
Cs 0.5866 0.2500 0.3592
Cs 0.9134 0.7500 0.8592
Ho 0.0557 0.7500 0.6097
Ho 0.1757 0.2500 0.7982
Ho 0.1962 0.2500 0.4510
Ho 0.3038 0.7500 0.9510
Ho 0.3243 0.7500 0.2982
Ho 0.4443 0.2500 0.1097
Ho 0.5557 0.7500 0.8903
Ho 0.6757 0.2500 0.7018
Ho 0.6962 0.2500 0.0490
Ho 0.8038 0.7500 0.5490
Ho 0.8243 0.7500 0.2018
Ho 0.9443 0.2500 0.3903
Te 0.0482 0.2500 0.7744
Te 0.0681 0.2500 0.4429
Te 0.1766 0.7500 0.9578
Te 0.1852 0.7500 0.6243
Te 0.1967 0.7500 0.2930
Te 0.3033 0.2500 0.7930
Te 0.3148 0.2500 0.1243
Te 0.3234 0.2500 0.4578
Te 0.4319 0.7500 0.9429
Te 0.4518 0.7500 0.2744
Te 0.5482 0.2500 0.7256
Te 0.5681 0.2500 0.0571
Te 0.6766 0.7500 0.5422
Te 0.6852 0.7500 0.8757
Te 0.6967 0.7500 0.2070
Te 0.8033 0.2500 0.7070
Te 0.8148 0.2500 0.3757
Te 0.8234 0.2500 0.0422
Te 0.9319 0.7500 0.5571
Te 0.9518 0.7500 0.2256